No. 1
LiBeNb (GGA-PBE, optimized geometry); energy above the lowest structure with this stoichiometry = 0.43 eV/f.u.; DFT formation energy = 0.24 eV/atom
1.0
4.258 0.000 0.000
-2.129 3.687 0.000
0.000 0.000 5.054
Li Be Nb
2 2 2
direct
0.000 0.000 0.000 Li
0.000 0.000 0.500 Li
0.333 0.667 0.250 Be
0.667 0.333 0.750 Be
0.333 0.667 0.750 Nb
0.667 0.333 0.250 Nb

=====

No. 2
Li3BeNb (GGA-PBE, optimized geometry); energy above the lowest structure with this stoichiometry = 3.87 eV/f.u.; DFT formation energy = 1.67 eV/atom
1.0
5.038 0.000 0.000
0.000 5.038 0.000
0.000 0.000 5.038
Li Be Nb
3 1 1
direct
0.000 0.000 0.500 Li
0.000 0.500 0.000 Li
0.500 0.000 0.000 Li
0.500 0.500 0.500 Be
0.000 0.000 0.000 Nb

=====

No. 3
LiBeNb (GGA-PBE, optimized geometry); energy above the lowest structure with this stoichiometry = 1.62 eV/f.u.; DFT formation energy = 0.64 eV/atom
1.0
0.000 2.793 2.793
2.793 0.000 2.793
2.793 2.793 0.000
Li Be Nb
1 1 1
direct
0.000 0.000 0.000 Li
0.250 0.250 0.250 Be
0.500 0.500 0.500 Nb

=====

No. 4
LiBeNb (GGA-PBE, optimized geometry); energy above the lowest structure with this stoichiometry = 0.12 eV/f.u.; DFT formation energy = 0.14 eV/atom
1.0
2.592 0.000 0.000
-0.049 4.583 0.000
-0.017 -1.031 7.164
Li Be Nb
2 2 2
direct
0.000 0.000 0.000 Li
0.499 0.500 0.000 Li
0.016 0.713 0.298 Be
0.982 0.292 0.702 Be
0.415 0.776 0.625 Nb
0.584 0.228 0.375 Nb

=====

No. 5
LiBeNb (GGA-PBE, optimized geometry); energy above the lowest structure with this stoichiometry = 0.41 eV/f.u.; DFT formation energy = 0.23 eV/atom
1.0
5.653 0.000 0.000
0.000 3.821 0.000
0.000 0.000 7.478
Li Be Nb
4 4 4
direct
0.104 0.250 0.017 Li
0.396 0.750 0.517 Li
0.604 0.250 0.483 Li
0.896 0.750 0.983 Li
0.235 0.250 0.311 Be
0.265 0.750 0.811 Be
0.735 0.250 0.189 Be
0.765 0.750 0.689 Be
0.055 0.250 0.637 Nb
0.445 0.750 0.137 Nb
0.555 0.250 0.863 Nb
0.945 0.750 0.363 Nb

=====

No. 6
LiBeNb (GGA-PBE, optimized geometry); energy above the lowest structure with this stoichiometry = 0.12 eV/f.u.; DFT formation energy = 0.14 eV/atom
1.0
2.654 0.000 0.000
-0.025 4.504 0.000
-1.095 -1.082 7.123
Li Be Nb
2 2 2
direct
0.228 0.247 0.494 Li
0.772 0.753 0.506 Li
0.391 0.699 0.798 Be
0.609 0.301 0.202 Be
0.146 0.778 0.124 Nb
0.854 0.222 0.876 Nb

=====

No. 7
Li2BeNb (GGA-PBE, optimized geometry); DFT formation energy = 0.75 eV/atom
1.0
-3.424 3.424 2.459
3.424 -3.424 2.459
3.424 3.424 -2.459
Li Be Nb
4 2 2
direct
0.082 0.625 0.957 Li
0.375 0.332 0.457 Li
0.668 0.125 0.043 Li
0.875 0.918 0.543 Li
0.000 0.000 0.000 Be
0.750 0.250 0.500 Be
0.250 0.750 0.500 Nb
0.500 0.500 0.000 Nb

=====

No. 8
LiBeNb (GGA-PBE, optimized geometry); energy above the lowest structure with this stoichiometry = 3.21 eV/f.u.; DFT formation energy = 1.17 eV/atom
1.0
0.000 2.886 2.886
2.886 0.000 2.886
2.886 2.886 0.000
Li Be Nb
1 1 1
direct
0.000 0.000 0.000 Li
0.500 0.500 0.500 Be
0.750 0.750 0.750 Nb

=====

No. 9
LiBeNb (GGA-PBE, optimized geometry); energy above the lowest structure with this stoichiometry = 3.80 eV/f.u.; DFT formation energy = 1.36 eV/atom
1.0
3.333 0.000 0.000
-1.667 2.887 0.000
0.000 0.000 9.811
Li Be Nb
2 2 2
direct
0.333 0.667 0.250 Li
0.667 0.333 0.750 Li
0.000 0.000 0.250 Be
0.000 0.000 0.750 Be
0.000 0.000 0.000 Nb
0.000 0.000 0.500 Nb

=====

No. 10
LiBeNb (GGA-PBE, optimized geometry); energy above the lowest structure with this stoichiometry = 0.00 eV/f.u.; DFT formation energy = 0.10 eV/atom
1.0
1.970 -1.969 0.000
1.970 1.969 0.000
-0.034 0.000 11.448
Li Be Nb
2 2 2
direct
0.000 0.000 0.000 Li
0.506 0.506 0.800 Li
0.002 0.002 0.359 Be
0.005 0.005 0.662 Be
0.501 0.501 0.214 Nb
0.504 0.504 0.514 Nb

=====

No. 11
LiBeNb (GGA-PBE, optimized geometry); energy above the lowest structure with this stoichiometry = 1.12 eV/f.u.; DFT formation energy = 0.47 eV/atom
1.0
3.605 0.000 0.000
0.000 3.605 0.000
0.000 0.000 5.969
Li Be Nb
2 2 2
direct
0.250 0.250 0.202 Li
0.750 0.750 0.798 Li
0.250 0.750 0.000 Be
0.750 0.250 0.000 Be
0.250 0.250 0.631 Nb
0.750 0.750 0.369 Nb

=====

No. 12
Li3BeNb (GGA-PBE, optimized geometry); energy above the lowest structure with this stoichiometry = 0.00 eV/f.u.; DFT formation energy = 0.89 eV/atom
1.0
4.158 0.000 0.000
0.000 4.158 0.000
0.000 0.000 4.158
Li Be Nb
3 1 1
direct
0.000 0.000 0.500 Li
0.000 0.500 0.000 Li
0.500 0.000 0.000 Li
0.000 0.000 0.000 Be
0.500 0.500 0.500 Nb

=====

What is the formula in the fourth record? LiBeNb

=====

Among the records above, which one has the highest DFT formation energy? number 2